[1]
Computed, not measured: an optimized crystal structure of TmSc2Te at the GGA-PBE level of DFT.

Geometry as extended XYZ:
```
4
Lattice="3.733 0.000 0.000 1.867 3.233 0.000 1.867 1.078 9.073" Properties=species:S:1:pos:R:3 pbc="T T T"
Te 3.733 2.155 0.008
Sc 1.867 1.078 1.956
Sc 1.867 1.078 7.115
Tm 3.733 2.155 4.531
```

Properties
symmetry = R3m, No. 160
Fermi-level density of states = 4.7 states/eV/f.u.
crystal system = trigonal
relative energy among the computed polymorphs = 200 meV/atom
formation energy without anion corrections = -0.43 eV/atom
final energy = -22.0 eV per cell


[2]
Computed, not measured: an optimized crystal structure of TmScTe2 at the GGA-PBE level of DFT.

Geometry as extended XYZ:
```
4
Lattice="4.078 0.000 0.000 2.039 3.531 0.000 2.039 1.177 7.460" Properties=species:S:1:pos:R:3 pbc="T T T"
Tm 4.078 2.354 3.780
Te 2.039 1.177 1.773
Sc 6.117 3.531 7.398
Te 2.039 1.177 5.698
```

Properties
symmetry = R3m, No. 160
Fermi-level density of states = 1.8 states/eV/f.u.
crystal system = trigonal
relative energy among the computed polymorphs = 0 meV/atom
formation energy without anion corrections = -1.17 eV/atom
final energy = -21.8 eV per cell


[3]
Computed, not measured: an optimized crystal structure of TmScTe2 at the GGA-PBE level of DFT.

Geometry as extended XYZ:
```
4
Lattice="5.227 0.000 0.000 2.613 4.526 0.000 2.613 1.509 4.268" Properties=species:S:1:pos:R:3 pbc="T T T"
Sc 5.227 3.018 2.134
Tm 0.000 0.000 0.000
Te 2.613 1.509 1.067
Te 7.840 4.526 3.201
```

Properties
symmetry = Fm-3m, No. 225
Fermi-level density of states = 1.6 states/eV/f.u.
crystal system = cubic
relative energy among the computed polymorphs = 177 meV/atom
formation energy without anion corrections = -1.00 eV/atom
final energy = -21.1 eV per cell